Version 1
A relaxed Y2Tl2Ga crystal. Source: the Alexandria database, functional PBE-GGA.

Values from the calculation:
* mass density: 8.22 g/cm3
* size of the total moment: 0.0 Bohr magnetons per cell

Lattice parameters (Å, degrees): 7.534 7.534 4.669 90.00 90.00 90.00
Element x y z (fractional)
Y  0.168  0.332  0.000
Y  0.332  0.832  0.000
Y  0.668  0.168  0.000
Y  0.832  0.668  0.000
Tl  0.140  0.640  0.500
Tl  0.360  0.140  0.500
Tl  0.640  0.860  0.500
Tl  0.860  0.360  0.500
Ga  0.000  0.000  0.500
Ga  0.500  0.500  0.500

Version 2
A relaxed Y2Tl2Ga crystal. Source: the Alexandria database, functional PBE-GGA.

Values from the calculation:
* mass density: 7.72 g/cm3
* size of the total moment: 0.0 Bohr magnetons per cell

Lattice parameters (Å, degrees): 7.939 7.939 4.480 90.00 90.00 90.00
Element x y z (fractional)
Y  0.161  0.339  0.000
Y  0.339  0.839  0.000
Y  0.661  0.161  0.000
Y  0.839  0.661  0.000
Tl  0.146  0.646  0.500
Tl  0.354  0.146  0.500
Tl  0.646  0.854  0.500
Tl  0.854  0.354  0.500
Ga  0.000  0.000  0.000
Ga  0.500  0.500  0.000

Preferred: version 1; penalty for the next structure: 82 meV/atom.